# 1
LaYGa2Au5 | the Alexandria database | PBE | optimized geometry; total moment = 0.000 μB/atom; space group = P4/mmm; ΔH_f (0 K) = -0.528 eV per atom
1.0
4.7773 0.0000 0.0000
0.0000 4.7773 0.0000
0.0000 0.0000 8.5315
Ga Au La Y
2 5 1 1
Direct
0.5000 0.5000 0.8539
0.5000 0.5000 0.1461
0.5000 0.5000 0.5000
0.0000 0.5000 0.7445
0.5000 0.0000 0.7445
0.0000 0.5000 0.2555
0.5000 0.0000 0.2555
0.0000 0.0000 0.5000
0.0000 0.0000 0.0000

***

# 2
Ba2SmAuO5 | the Alexandria database | PBE | optimized geometry; total moment = 0.000 μB/atom; E_tot = -6.111 eV/atom; space group = Cmc2_1
1.0
3.6937 0.0000 0.0000
-1.8468 7.1188 0.0000
0.0000 0.0000 12.0623
Ba O Au Sm
4 10 2 2
Direct
0.1475 0.2950 0.2993
0.8525 0.7050 0.7993
0.0931 0.1862 0.6847
0.9069 0.8138 0.1847
0.6217 0.2433 0.4854
0.4831 0.9662 0.7804
0.2707 0.5415 0.6401
0.9405 0.8811 0.5734
0.3783 0.7567 0.9854
0.0595 0.1189 0.0734
0.6643 0.3286 0.8943
0.5169 0.0338 0.2804
0.7293 0.4585 0.1401
0.3357 0.6714 0.3943
0.4785 0.9571 0.4454
0.5215 0.0429 0.9454
0.7922 0.5844 0.5210
0.2078 0.4156 0.0210

***

# 3
Ni3RhC | the Alexandria database | PBE | optimized geometry; total moment = 0.942 μB/atom; excess energy over the best structure of this formula in the dataset = 2247 meV per atom; space group = Pm-3m; ΔH_f (0 K) = 2.500 eV per atom
1.0
-2.5499 2.3389 2.8543
-3.5953 -0.7928 -2.5622
-0.8315 -3.7444 2.3254
Ni C Rh
3 1 1
Direct
0.0000 0.5000 0.0000
0.5000 0.0000 0.0000
0.0000 0.0000 0.5000
0.5000 0.5000 0.5000
0.0000 0.0000 0.0000

***

# 4
ScSnW | the Alexandria database | PBE | optimized geometry; total moment = 0.000 μB/atom; excess energy over the best structure of this formula in the dataset = 127 meV per atom; space group = Cm; ΔH_f (0 K) = -0.002 eV per atom
1.0
7.9554 0.0000 0.0219
0.0000 3.3389 0.0000
-5.0853 0.0000 9.4977
Sc W Sn
4 4 4
Direct
0.5958 0.5000 0.2557
0.5958 0.0000 0.7557
0.9233 0.5000 0.0501
0.9233 0.0000 0.5501
0.5827 0.0000 0.0061
0.3341 0.5000 0.8506
0.3341 0.0000 0.3506
0.5827 0.5000 0.5061
0.9305 0.0000 0.2797
0.2574 0.5000 0.5539
0.2574 0.0000 0.0539
0.9305 0.5000 0.7797

***

# 5
ScBe2Mo | the Alexandria database | PBE | optimized geometry; total moment = 0.002 μB/atom; excess energy over the best structure of this formula in the dataset = 542 meV per atom; space group = F-43m; ΔH_f (0 K) = 0.505 eV per atom
1.0
4.2931 0.0000 0.0000
2.1465 3.7179 0.0000
2.1465 1.2393 3.5053
Sc Be Mo
1 2 1
Direct
0.7500 0.7500 0.7500
0.2500 0.2500 0.2500
0.0000 0.0000 0.0000
0.5000 0.5000 0.5000

***

# 6
Pm6TeIr2Se3 | the Alexandria database | PBE | optimized geometry; total moment = 0.000 μB/atom; E_tot = -6.353 eV/atom; space group = C2/m
1.0
4.1656 0.0000 0.0000
0.0000 8.7494 0.1953
-2.0828 -2.6424 8.9570
Pm Se Te Ir
6 3 1 2
Direct
0.0131 0.2713 0.0262
0.3271 0.4243 0.6543
0.6729 0.5757 0.3457
0.6760 0.1182 0.3520
0.9869 0.7287 0.9738
0.3240 0.8818 0.6480
0.5000 0.5000 0.0000
0.8412 0.1582 0.6825
0.1588 0.8418 0.3175
0.5000 0.0000 0.0000
0.1694 0.3403 0.3388
0.8306 0.6597 0.6612

***

# 7
RbCe2I7 | the Alexandria database | PBE | optimized geometry; total moment = 0.200 μB/atom; E_tot = -3.706 eV/atom; space group = Cmmm
1.0
-5.9808 1.4088 1.1726
-0.5604 -7.3354 5.9550
2.6901 8.2192 3.8461
Ce Rb I
2 1 7
Direct
0.5000 0.3015 0.6985
0.5000 0.6985 0.3015
0.0000 0.0000 0.0000
0.5000 0.3248 0.0506
0.0000 0.7064 0.2936
0.5000 0.9494 0.6752
0.5000 0.0506 0.3248
0.5000 0.6752 0.9494
0.0000 0.2936 0.7064
0.5000 0.5000 0.5000

***

# 8
CeTh5Sc4 | the Alexandria database | PBE | optimized geometry; total moment = 0.000 μB/atom; space group = P4/mmm; ΔH_f (0 K) = 0.028 eV per atom
1.0
3.4881 0.0000 0.0000
0.0000 3.4881 0.0000
0.0000 0.0000 23.7025
Th Sc Ce
5 4 1
Direct
0.5000 0.5000 0.5000
0.5000 0.5000 0.3016
0.5000 0.5000 0.6984
0.5000 0.5000 0.1035
0.5000 0.5000 0.8965
0.0000 0.0000 0.5997
0.0000 0.0000 0.2029
0.0000 0.0000 0.7971
0.0000 0.0000 0.4003
0.0000 0.0000 0.0000